{"formula": "ScCr5", "functional": "PBE-GGA", "state": "optimized geometry", "cell": [[0.0000, 3.4223, 3.4223], [3.4223, 0.0000, 3.4223], [3.4223, 3.4223, 0.0000]], "species": ["Sc", "Cr", "Cr", "Cr", "Cr", "Cr"], "fractional_positions": [[0.0000, 0.0000, 0.0000], [0.3754, 0.3754, 0.3754], [0.3754, 0.3754, 0.8738], [0.3754, 0.8738, 0.3754], [0.7500, 0.7500, 0.7500], [0.8738, 0.3754, 0.3754]], "total_energy_ev_per_atom": -8.9125, "polymorph_energy_ev_per_atom": 0.000}